! PBE+U VWF2, relaxed; values from VASP
&SYSTEM
  ibrav = 0, nat = 4, ntyp = 3
/
ATOMIC_SPECIES
V 50.94 V.upf
W 183.84 W.upf
F 19.00 F.upf
CELL_PARAMETERS angstrom
1.745 0.000 8.156
-0.873 1.511 8.156
-0.873 -1.511 8.156
ATOMIC_POSITIONS crystal
V 0.000 0.000 0.000
W 0.500 0.500 0.500
F 0.919 0.919 0.919
F 0.081 0.081 0.081
! offset from the most stable computed form: 0 meV per atom
! spin magnetization: 1.514 μB/atom